Record 1
The following is a DFT calculation (PBE-GGA) of a geometry-optimized TbSmAs2 structure.

Summary:
- E_form: -1.37 eV/atom
- Magnetic moment: 0.00 μB per cell
- Symmetry: R3m

a = 4.1383 Å, b = 4.1383 Å, c = 7.5030 Å
α = 73.99°, β = 73.99°, γ = 60.00°
Fractional coordinates of all 4 atoms:
Tb: 0.4977 0.4977 0.5068
Sm: 0.6691 0.6691 0.9926
As: 0.0836 0.0836 0.7493
As: 0.2496 0.2496 0.2513


Record 2
The following is a DFT calculation (PBE-GGA) of a geometry-optimized Tb3Sm5As8 structure.

Summary:
- E_form: -1.53 eV/atom
- Magnetic moment: 0.00 μB per cell
- Symmetry: R-3m

a = 8.3724 Å, b = 8.3724 Å, c = 8.3728 Å
α = 60.00°, β = 60.00°, γ = 60.00°
Fractional coordinates of all 16 atoms:
Tb: 0.5000 0.0000 0.5000
Tb: 0.0000 0.0000 0.5000
Tb: 0.0000 0.5000 0.5000
Sm: 0.5000 0.0000 0.0000
Sm: 0.5000 0.5000 0.0000
Sm: 0.0000 0.0000 0.0000
Sm: 0.0000 0.5000 0.0000
Sm: 0.5000 0.5000 0.5000
As: 0.2500 0.2500 0.7469
As: 0.2500 0.7531 0.7469
As: 0.7531 0.2500 0.7469
As: 0.7515 0.7515 0.7454
As: 0.7500 0.7500 0.2531
As: 0.7500 0.2469 0.2531
As: 0.2469 0.7500 0.2531
As: 0.2485 0.2485 0.2546


Record 3
The following is a DFT calculation (PBE-GGA) of a geometry-optimized TbSmTeAs structure.

Summary:
- Formation energy from raw total energies: -1.48 eV/atom
- Magnetic moment: 0.00 μB per cell
- Symmetry: R3m

a = 4.1935 Å, b = 4.1937 Å, c = 7.8082 Å
α = 90.00°, β = 105.58°, γ = 120.00°
Fractional coordinates of all 4 atoms:
Tb: 0.4914 0.1437 0.6503
Sm: 0.1132 0.9545 0.0830
Te: 0.9708 0.3834 0.3693
As: 0.3026 0.5492 0.8670


Record 4
The following is a DFT calculation (PBE-GGA) of a geometry-optimized TbSm2ThAs4 structure.

Summary:
- E_form: -1.52 eV/atom
- Magnetic moment: 0.00 μB per cell
- Symmetry: P2/m

a = 4.2134 Å, b = 7.2883 Å, c = 7.2762 Å
α = 70.54°, β = 90.00°, γ = 90.00°
Fractional coordinates of all 8 atoms:
Tb: 0.0000 0.5000 0.5000
Sm: 0.0000 0.0000 0.0000
Sm: 0.5000 0.0000 0.5000
Th: 0.5000 0.5000 0.0000
As: 0.0000 0.7489 0.7477
As: 0.0000 0.2511 0.2523
As: 0.5000 0.7467 0.2530
As: 0.5000 0.2533 0.7470


Record 5
The following is a DFT calculation (PBE-GGA) of a geometry-optimized Tb3SmTh4As8 structure.

Summary:
- E_form: -1.47 eV/atom
- Magnetic moment: 0.00 μB per cell
- Symmetry: R-3m

a = 8.4338 Å, b = 8.3919 Å, c = 8.4338 Å
α = 120.16°, β = 120.00°, γ = 90.00°
Fractional coordinates of all 16 atoms:
Tb: 0.5000 0.5000 0.0000
Tb: 0.5000 0.5000 0.5000
Tb: 0.0000 0.5000 0.5000
Sm: 0.0000 0.5000 0.0000
Th: 0.5000 0.0000 0.0000
Th: 0.5000 0.0000 0.5000
Th: 0.0000 0.0000 0.0000
Th: 0.0000 0.0000 0.5000
As: 0.2495 0.7455 0.9960
As: 0.2495 0.7455 0.4990
As: 0.2520 0.2561 0.5041
As: 0.7465 0.7455 0.9960
As: 0.2535 0.2545 0.0040
As: 0.7480 0.7439 0.4959
As: 0.7505 0.2545 0.5010
As: 0.7505 0.2545 0.0040


Record 6
The following is a DFT calculation (PBE-GGA) of a geometry-optimized Tb3Sm2ThAs6 structure.

Summary:
- E_form: -1.53 eV/atom
- Magnetic moment: 0.00 μB per cell
- Symmetry: C2/m

a = 4.1893 Å, b = 8.3664 Å, c = 9.3464 Å
α = 102.81°, β = 102.95°, γ = 90.00°
Fractional coordinates of all 12 atoms:
Tb: 0.5000 0.5000 0.0000
Tb: 0.8324 0.1683 0.6649
Tb: 0.1676 0.8317 0.3351
Sm: 0.8321 0.6639 0.6642
Sm: 0.1679 0.3361 0.3358
Th: 0.5000 0.0000 0.0000
As: 0.3326 0.9197 0.6652
As: 0.6654 0.5860 0.3307
As: 0.6674 0.0803 0.3348
As: 0.9991 0.2530 0.9982
As: 0.0009 0.7470 0.0018
As: 0.3346 0.4140 0.6693


Record 7
The following is a DFT calculation (PBE-GGA) of a geometry-optimized Tb3SmTm2As6 structure.

Summary:
- E_form: -1.52 eV/atom
- Magnetic moment: 0.00 μB per cell
- Symmetry: C2/m

a = 7.1479 Å, b = 7.1479 Å, c = 7.1485 Å
α = 99.59°, β = 99.59°, γ = 119.99°
Fractional coordinates of all 12 atoms:
Tb: 0.1654 0.8346 0.5000
Tb: 0.8346 0.1654 0.5000
Tb: 0.5000 0.5000 0.5000
Sm: 0.0000 0.0000 0.0000
Tm: 0.3329 0.6671 0.0000
Tm: 0.6671 0.3329 0.0000
As: 0.9171 0.5786 0.7513
As: 0.7440 0.7440 0.2476
As: 0.0829 0.4214 0.2487
As: 0.5786 0.9171 0.7513
As: 0.2560 0.2560 0.7524
As: 0.4214 0.0829 0.2487


Record 8
The following is a DFT calculation (PBE-GGA) of a geometry-optimized Tb2SmTmAs4 structure.

Summary:
- E_form: -1.52 eV/atom
- Magnetic moment: 0.00 μB per cell
- Symmetry: P2/m

a = 4.1418 Å, b = 7.1700 Å, c = 7.1684 Å
α = 70.53°, β = 90.00°, γ = 90.00°
Fractional coordinates of all 8 atoms:
Tb: 0.0000 0.0000 0.0000
Tb: 0.5000 0.0000 0.5000
Sm: 0.5000 0.5000 0.0000
Tm: 0.0000 0.5000 0.5000
As: 0.0000 0.7515 0.7452
As: 0.0000 0.2485 0.2548
As: 0.5000 0.7484 0.2547
As: 0.5000 0.2516 0.7452


Record 9
The following is a DFT calculation (PBE-GGA) of a geometry-optimized Tb2Sm3TmAs6 structure.

Summary:
- E_form: -1.53 eV/atom
- Magnetic moment: 0.00 μB per cell
- Symmetry: C2/m

a = 4.1665 Å, b = 8.3261 Å, c = 9.3101 Å
α = 102.89°, β = 102.93°, γ = 90.00°
Fractional coordinates of all 12 atoms:
Tb: 0.8337 0.6672 0.6675
Tb: 0.1663 0.3328 0.3325
Sm: 0.5000 0.5000 0.0000
Sm: 0.8331 0.1664 0.6662
Sm: 0.1669 0.8336 0.3338
Tm: 0.5000 0.0000 0.0000
As: 0.3356 0.9148 0.6713
As: 0.6677 0.5807 0.3354
As: 0.6644 0.0852 0.3287
As: 0.0008 0.2439 0.0016
As: 0.9992 0.7561 0.9984
As: 0.3323 0.4193 0.6646


Record 10
The following is a DFT calculation (PBE-GGA) of a geometry-optimized TbSm2TmAs4 structure.

Summary:
- E_form: -1.52 eV/atom
- Magnetic moment: 0.00 μB per cell
- Symmetry: P2/m

a = 4.1604 Å, b = 7.2008 Å, c = 7.2020 Å
α = 70.53°, β = 90.00°, γ = 90.00°
Fractional coordinates of all 8 atoms:
Tb: 0.0000 0.5000 0.5000
Sm: 0.0000 0.0000 0.0000
Sm: 0.5000 0.0000 0.5000
Tm: 0.5000 0.5000 0.0000
As: 0.0000 0.7421 0.7548
As: 0.0000 0.2579 0.2452
As: 0.5000 0.7438 0.2500
As: 0.5000 0.2562 0.7500


Record 11
The following is a DFT calculation (PBE-GGA) of a geometry-optimized TbSm2Tm3As6 structure.

Summary:
- E_form: -1.51 eV/atom
- Magnetic moment: 0.00 μB per cell
- Symmetry: C2/m

a = 4.1289 Å, b = 8.2496 Å, c = 9.2245 Å
α = 102.85°, β = 102.93°, γ = 90.00°
Fractional coordinates of all 12 atoms:
Tb: 0.5000 0.0000 0.0000
Sm: 0.8338 0.6673 0.6675
Sm: 0.1662 0.3327 0.3325
Tm: 0.5000 0.5000 0.0000
Tm: 0.8331 0.1664 0.6662
Tm: 0.1669 0.8336 0.3338
As: 0.3325 0.9228 0.6649
As: 0.6646 0.5886 0.3292
As: 0.6675 0.0772 0.3351
As: 0.9976 0.2519 0.9953
As: 0.0024 0.7481 0.0047
As: 0.3354 0.4114 0.6708


Record 12
The following is a DFT calculation (PBE-GGA) of a geometry-optimized Tb3Sm2TmAs6 structure.

Summary:
- E_form: -1.53 eV/atom
- Magnetic moment: 0.00 μB per cell
- Symmetry: C2/m

a = 4.1537 Å, b = 8.3026 Å, c = 9.2835 Å
α = 102.92°, β = 102.93°, γ = 90.00°
Fractional coordinates of all 12 atoms:
Tb: 0.5000 0.5000 0.0000
Tb: 0.8328 0.1661 0.6656
Tb: 0.1672 0.8339 0.3344
Sm: 0.8342 0.6679 0.6684
Sm: 0.1658 0.3321 0.3316
Tm: 0.5000 0.0000 0.0000
As: 0.3348 0.9209 0.6696
As: 0.6657 0.5859 0.3314
As: 0.6652 0.0791 0.3304
As: 0.9985 0.2457 0.9969
As: 0.0015 0.7543 0.0031
As: 0.3343 0.4141 0.6686


Copy entry 12 word for word.
The following is a DFT calculation (PBE-GGA) of a geometry-optimized Tb3Sm2TmAs6 structure.

Summary:
- E_form: -1.53 eV/atom
- Magnetic moment: 0.00 μB per cell
- Symmetry: C2/m

a = 4.1537 Å, b = 8.3026 Å, c = 9.2835 Å
α = 102.92°, β = 102.93°, γ = 90.00°
Fractional coordinates of all 12 atoms:
Tb: 0.5000 0.5000 0.0000
Tb: 0.8328 0.1661 0.6656
Tb: 0.1672 0.8339 0.3344
Sm: 0.8342 0.6679 0.6684
Sm: 0.1658 0.3321 0.3316
Tm: 0.5000 0.0000 0.0000
As: 0.3348 0.9209 0.6696
As: 0.6657 0.5859 0.3314
As: 0.6652 0.0791 0.3304
As: 0.9985 0.2457 0.9969
As: 0.0015 0.7543 0.0031
As: 0.3343 0.4141 0.6686


Please write out number 9 again, unchanged.
The following is a DFT calculation (PBE-GGA) of a geometry-optimized Tb2Sm3TmAs6 structure.

Summary:
- E_form: -1.53 eV/atom
- Magnetic moment: 0.00 μB per cell
- Symmetry: C2/m

a = 4.1665 Å, b = 8.3261 Å, c = 9.3101 Å
α = 102.89°, β = 102.93°, γ = 90.00°
Fractional coordinates of all 12 atoms:
Tb: 0.8337 0.6672 0.6675
Tb: 0.1663 0.3328 0.3325
Sm: 0.5000 0.5000 0.0000
Sm: 0.8331 0.1664 0.6662
Sm: 0.1669 0.8336 0.3338
Tm: 0.5000 0.0000 0.0000
As: 0.3356 0.9148 0.6713
As: 0.6677 0.5807 0.3354
As: 0.6644 0.0852 0.3287
As: 0.0008 0.2439 0.0016
As: 0.9992 0.7561 0.9984
As: 0.3323 0.4193 0.6646


What is the magnetic moment in the fourth record?
0.00 μB per cell


What is the magnetic moment in the third record?
0.00 μB per cell